1.
Y2V3O9 | GGA+U | relaxed

Lattice parameters (Å, degrees): 5.2915 7.6712 16.3414 90.00 90.00 90.00
Last column: nearest neighbours and their distance in Å.
Sites, in units of the cell vectors:
Y 0.0126 0.0031 0.2659  8 O 2.31-2.53
Y 0.0145 0.9972 0.9390  6 O 2.24-2.46
Y 0.4855 0.0028 0.4390  6 O 2.24-2.46
Y 0.4874 0.9969 0.7659  8 O 2.31-2.53
Y 0.5126 0.4969 0.7341  8 O 2.31-2.53
Y 0.5145 0.5028 0.0610  6 O 2.24-2.46
Y 0.9855 0.4972 0.5610  6 O 2.24-2.46
Y 0.9874 0.5031 0.2341  8 O 2.31-2.53
V 0.0060 0.7480 0.4169  6 O 1.86-2.02
V 0.0089 0.7322 0.7504  5 O 1.82-2.02
V 0.0132 0.7591 0.0861  4 O 1.82-2.01
V 0.4868 0.2409 0.5861  4 O 1.82-2.01
V 0.4911 0.2678 0.2504  5 O 1.82-2.02
V 0.4940 0.2520 0.9169  6 O 1.86-2.02
V 0.5060 0.7520 0.5831  6 O 1.86-2.02
V 0.5089 0.7678 0.2496  5 O 1.82-2.02
V 0.5132 0.7409 0.9139  4 O 1.82-2.01
V 0.9868 0.2591 0.4139  4 O 1.82-2.01
V 0.9911 0.2322 0.7496  5 O 1.82-2.02
V 0.9940 0.2480 0.0831  6 O 1.86-2.02
O 0.0621 0.5008 0.4183  2 V 1.90-1.92
O 0.0794 0.5016 0.7607  1 V 1.82
O 0.1063 0.4982 0.0970  2 V 2.02-2.07, 1 Y 2.24
O 0.1858 0.2215 0.1863  2 V 1.96-1.98
O 0.1878 0.7799 0.1894  2 V 1.93-1.97
O 0.2045 0.1818 0.8461  2 V 1.98-1.99
O 0.2118 0.7889 0.5069  2 V 1.86-2.01
O 0.2136 0.8148 0.8471  2 V 2.01-2.02
O 0.2321 0.2228 0.5117  1 V 1.82
O 0.2679 0.7772 0.0117  1 V 1.82
O 0.2864 0.1852 0.3471  2 V 2.01-2.02
O 0.2882 0.2111 0.0069  2 V 1.86-2.01
O 0.2955 0.8182 0.3461  2 V 1.98-1.99
O 0.3122 0.2201 0.6894  2 V 1.93-1.97
O 0.3142 0.7785 0.6863  2 V 1.96-1.98
O 0.3937 0.5018 0.5970  2 V 2.02-2.07, 1 Y 2.24
O 0.4206 0.4984 0.2607  1 V 1.82
O 0.4379 0.4992 0.9183  2 V 1.90-1.92
O 0.5621 0.9992 0.5817  2 V 1.90-1.92
O 0.5794 0.9984 0.2393  1 V 1.82
O 0.6063 0.0018 0.9030  2 V 2.02-2.07, 1 Y 2.24
O 0.6858 0.2785 0.8137  2 V 1.96-1.98
O 0.6878 0.7201 0.8106  2 V 1.93-1.97
O 0.7045 0.3182 0.1539  2 V 1.98-1.99
O 0.7118 0.7111 0.4931  2 V 1.86-2.01
O 0.7136 0.6852 0.1529  2 V 2.01-2.02
O 0.7321 0.2772 0.4883  1 V 1.82
O 0.7679 0.7228 0.9883  1 V 1.82
O 0.7864 0.3148 0.6529  2 V 2.01-2.02
O 0.7882 0.2889 0.9931  2 V 1.86-2.01
O 0.7955 0.6818 0.6539  2 V 1.98-1.99
O 0.8122 0.2799 0.3106  2 V 1.93-1.97
O 0.8142 0.7215 0.3137  2 V 1.96-1.98
O 0.8937 0.9982 0.4030  2 V 2.02-2.07, 1 Y 2.24
O 0.9206 0.0016 0.7393  1 V 1.82
O 0.9379 0.0008 0.0817  2 V 1.90-1.92

Output
Final energy   -115.423 eV/f.u.
Volume   663.33 Å³ per cell
Total moment   0.214 μB per atom

***

2.
Y2VO | GGA+U | relaxed

Lattice parameters (Å, degrees): 6.3502 6.3502 6.3502 114.54 114.54 99.75
Last column: nearest neighbours and their distance in Å.
Sites, in units of the cell vectors:
Y 0.0135 0.6250 0.8885  2 O 2.21
Y 0.3750 0.2635 0.3885  2 O 2.21
Y 0.7365 0.1250 0.1115  2 O 2.21
Y 0.8750 0.9865 0.6115  2 O 2.21
V 0.2500 0.7500 0.5000  4 Y 3.19
V 0.5000 0.5000 0.0000  4 Y 3.19
O 0.0000 0.0000 0.0000  4 Y 2.21
O 0.7500 0.2500 0.5000  4 Y 2.21

Output
Final energy   -28.567 eV/f.u.
Volume   192.97 Å³ per cell
Total moment   0.997 μB per atom
DOS at the Fermi energy   7.693 states/eV per cell

***

3.
Yb2V2O7 | GGA+U | relaxed

Lattice parameters (Å, degrees): 7.1557 7.1557 7.1557 60.00 60.00 60.00
Last column: nearest neighbours and their distance in Å.
Sites, in units of the cell vectors:
Yb 0.0000 0.0000 0.0000  2 O 2.19
Yb 0.0000 0.0000 0.5000  2 O 2.19
Yb 0.0000 0.5000 0.0000  2 O 2.19
Yb 0.5000 0.0000 0.0000  2 O 2.19
V 0.0000 0.5000 0.5000  6 O 1.93
V 0.5000 0.0000 0.5000  6 O 1.93
V 0.5000 0.5000 0.0000  6 O 1.93
V 0.5000 0.5000 0.5000  6 O 1.93
O 0.1250 0.1250 0.1250  4 Yb 2.19
O 0.1797 0.1797 0.5703  2 V 1.93
O 0.1797 0.5703 0.1797  2 V 1.93
O 0.1797 0.5703 0.5703  2 V 1.93
O 0.4297 0.4297 0.8203  2 V 1.93
O 0.4297 0.8203 0.4297  2 V 1.93
O 0.4297 0.8203 0.8203  2 V 1.93
O 0.5703 0.1797 0.1797  2 V 1.93
O 0.5703 0.1797 0.5703  2 V 1.93
O 0.5703 0.5703 0.1797  2 V 1.93
O 0.8203 0.4297 0.4297  2 V 1.93
O 0.8203 0.4297 0.8203  2 V 1.93
O 0.8203 0.8203 0.4297  2 V 1.93
O 0.8750 0.8750 0.8750  4 Yb 2.19

Output
Final energy   -79.357 eV/f.u.
Volume   259.08 Å³ per cell
Total moment   0.174 μB per atom
DOS at the Fermi energy   45.305 states/eV per cell

***

4.
YbV8O16 | GGA+U | relaxed

Lattice parameters (Å, degrees): 8.3674 3.7222 9.3487 90.00 97.84 90.00
Last column: nearest neighbours and their distance in Å.
Sites, in units of the cell vectors:
Yb 0.0000 0.0000 0.0000  5 O 2.18-2.37
V 0.1946 0.0000 0.6107  4 O 1.79-1.96
V 0.2818 0.5000 0.8794  3 O 1.73-1.91
V 0.3161 0.0000 0.2787  2 O 1.91-1.99
V 0.5967 0.0000 0.7791  2 O 1.77-1.83
V 0.6451 0.5000 0.4343  3 O 1.80-1.90
V 0.6752 0.0000 0.1766  3 O 1.76-1.95
V 0.9273 0.5000 0.6804  5 O 1.85-1.96
V 0.9848 0.5000 0.2992  4 O 1.94-2.07
O 0.0027 0.5000 0.8786  1 V 1.87
O 0.1552 0.0000 0.4177  2 V 1.79-1.99
O 0.1717 0.5000 0.1828  1 V 2.02
O 0.1884 0.5000 0.6765  3 V 1.95-1.96
O 0.2410 0.0000 0.9001  2 V 1.91
O 0.4228 0.0000 0.6475  2 V 1.77-1.89
O 0.4308 0.5000 0.3755  1 V 1.80
O 0.4632 0.0000 0.1388  2 V 1.76-1.91
O 0.4851 0.5000 0.8623  1 V 1.73
O 0.6625 0.0000 0.3977  3 V 1.90-2.08
O 0.6923 0.5000 0.6748  1 V 1.96
O 0.7148 0.0000 0.9585  1 V 1.83
O 0.7190 0.5000 0.2319  3 V 1.95-2.07
O 0.8954 0.5000 0.4805  2 V 1.85-1.94
O 0.9172 0.0000 0.2153  3 V 2.01-2.07, 1 Yb 2.22
O 0.9766 0.0000 0.6773  3 V 1.91-2.01

Output
Final energy   -188.740 eV/f.u.
Volume   288.44 Å³ per cell
Total moment   0.399 μB per atom
DOS at the Fermi energy   18.116 states/eV per cell

***

5.
YbVO4 | GGA+U | relaxed

Lattice parameters (Å, degrees): 6.0235 6.0235 6.0235 106.32 106.32 115.98
Last column: nearest neighbours and their distance in Å.
Sites, in units of the cell vectors:
Yb 0.3750 0.6250 0.7500  8 O 2.32-2.48
Yb 0.6250 0.3750 0.2500  8 O 2.32-2.48
V 0.1250 0.8750 0.2500  4 O 1.74
V 0.8750 0.1250 0.7500  4 O 1.74
O 0.1382 0.7022 0.4361  1 V 1.74
O 0.2339 0.2978 0.9361  1 V 1.74
O 0.2978 0.2339 0.4361  1 V 1.74
O 0.2978 0.8618 0.0639  1 V 1.74
O 0.7022 0.1382 0.9361  1 V 1.74
O 0.7022 0.7661 0.5639  1 V 1.74
O 0.7661 0.7022 0.0639  1 V 1.74
O 0.8618 0.2978 0.5639  1 V 1.74

Output
Final energy   -42.865 eV/f.u.
Volume   166.59 Å³ per cell
Total moment   0.175 μB per atom
DOS at the Fermi energy   26.653 states/eV per cell

***

6.
VZnO3 | GGA+U | relaxed

Lattice parameters (Å, degrees): 5.1410 7.6330 5.1683 90.00 90.00 90.00
Last column: nearest neighbours and their distance in Å.
Sites, in units of the cell vectors:
V 0.0000 0.0000 0.0000  6 O 1.88-2.03
V 0.0000 0.5000 0.0000  6 O 1.88-2.03
V 0.5000 0.0000 0.5000  6 O 1.88-2.03
V 0.5000 0.5000 0.5000  6 O 1.88-2.03
Zn 0.0299 0.2500 0.4906  4 O 2.03-2.10
Zn 0.4701 0.7500 0.9906  4 O 2.03-2.10
Zn 0.5299 0.2500 0.0094  4 O 2.03-2.10
Zn 0.9701 0.7500 0.5094  4 O 2.03-2.10
O 0.0741 0.7500 0.8890  2 V 2.03, 2 Zn 2.03-2.10
O 0.1894 0.5610 0.3309  2 V 1.88-2.02, 1 Zn 2.05
O 0.1894 0.9390 0.3309  2 V 1.88-2.02, 1 Zn 2.05
O 0.3106 0.0610 0.8309  2 V 1.88-2.02, 1 Zn 2.05
O 0.3106 0.4390 0.8309  2 V 1.88-2.02, 1 Zn 2.05
O 0.4259 0.2500 0.3890  2 V 2.03, 2 Zn 2.03-2.10
O 0.5741 0.7500 0.6110  2 V 2.03, 2 Zn 2.03-2.10
O 0.6894 0.5610 0.1691  2 V 1.88-2.02, 1 Zn 2.05
O 0.6894 0.9390 0.1691  2 V 1.88-2.02, 1 Zn 2.05
O 0.8106 0.0610 0.6691  2 V 1.88-2.02, 1 Zn 2.05
O 0.8106 0.4390 0.6691  2 V 1.88-2.02, 1 Zn 2.05
O 0.9259 0.2500 0.1110  2 V 2.03, 2 Zn 2.03-2.10

Output
Final energy   -32.063 eV/f.u.
Volume   202.81 Å³ per cell
Total moment   0.200 μB per atom